Material: Ta2RePt
Method: DFT, PBE-GGA
State: optimized geometry

The structure in POSCAR format:
```
Ta2RePt
1.0
2.808 0.000 0.000
0.000 4.085 0.000
-0.611 0.000 5.807
Ta Re Pt
2 1 1
direct
0.077 0.000 0.257 Ta
0.923 0.000 0.743 Ta
0.500 0.500 0.500 Re
0.500 0.500 0.000 Pt
```

Properties
Space-group type: P2/m (10)
Density in g/cm³: 18.5
ΔH_f (0 K) in eV per formula unit: -1.3
Calculated volume in Å³ per atom: 16.653
Crystal system: monoclinic
Total energy in eV/atom: -10.873

Material: LiSiSe
Method: DFT, PBE-GGA
State: optimized geometry

The structure in POSCAR format:
```
LiSiSe
1.0
4.786 0.000 0.000
-2.393 4.144 0.000
0.000 0.000 2.722
Li Si Se
1 1 1
direct
0.000 0.000 0.000 Li
0.667 0.333 0.500 Si
0.333 0.667 0.500 Se
```

Properties
Excess energy over the best structure of this formula in the dataset in kJ/mol of formula units: 53
Space-group type: P-6m2 (187)
Density in g/cm³: 3.5
Calculated volume in Å³ per atom: 17.995
Crystal system: hexagonal
Formation energy (no corrections) in meV/atom: 10
Total energy in eV/atom: -3.597

Material: TbPm3Bi4
Method: DFT, PBE-GGA
State: optimized geometry

The structure in POSCAR format:
```
TbPm3Bi4
1.0
4.557 -6.445 0.000
4.557 6.445 0.000
0.000 0.000 4.559
Tb Pm Bi
1 3 4
direct
0.000 0.000 0.000 Tb
0.000 0.500 0.500 Pm
0.500 0.000 0.500 Pm
0.500 0.500 0.000 Pm
0.246 0.246 0.500 Bi
0.248 0.752 0.000 Bi
0.752 0.248 0.000 Bi
0.754 0.754 0.500 Bi
```

Properties
Excess energy over the best structure of this formula in the dataset in kJ/mol of formula units: 3
Space-group type: Cmmm (65)
Density in g/cm³: 8.9
ΔH_f (0 K) in eV per formula unit: -7.4
Calculated volume in Å³ per atom: 33.477
Crystal system: orthorhombic
Total energy in eV/atom: -5.225